A plane-wave DFT calculation with PBE-GGA was carried out for LaErTlAg after structural relaxation.

Cell lengths 3.7036, 3.7036, 7.9681 Å; angles 90.00, 90.00, 90.00 degrees
Each line ends with the local moment (μB).
Sites, in units of the cell vectors:
La 0.0000 0.0000 0.8478  0.14
Er 0.0000 0.0000 0.3774  0.02
Tl 0.5000 0.5000 0.1280  0.00
Ag 0.5000 0.5000 0.5747  0.01

Summary:
The value obtained for the energy relative to the lowest polymorph listed for this composition is 0.000 eV per formula unit.